This record from the Alexandria database describes Sc2AlCd after structural relaxation. The functional is PBE-GGA.

Cell lengths 5.882, 5.882, 5.882 Å; angles 146.13, 131.11, 60.81 degrees
Atoms (fractional coordinates):
Cd 0.268 0.768 0.500
Sc 0.741 0.241 0.500
Sc 0.006 0.006 0.000
Al 0.485 0.485 0.000

Computed properties:
Energy above the most stable polymorph in this dataset = 43 kJ/mol of formula units
SG = Imm2, No. 44
DFT total energy = -4.59 eV/atom
DOS(E_F) = 1.042 states/eV/atom
Energy of formation = -0.260 eV/atom